TmPaHg2O6: relaxed, PBE-GGA.

Cell: 5.8321 5.8321 15.4421 Å, 90.00 90.00 120.00°
Closest atoms and distances in Å follow each position.
Space group R-3 (No. 148, hexagonal axes)
One atom of each set of equivalent atoms:
Tm: 0.0000 0.0000 0.0000 x3  6 O 2.25
Pa: 0.0000 0.0000 0.5000 x3  6 O 2.20
Hg: 0.0000 0.0000 0.2544 x6  3 O 2.23
O: 0.0065 0.3854 0.2501 x18  1 Pa 2.20, 1 Hg 2.23, 1 Tm 2.25

Summary:
Raw formation energy, meV per atom: -2254
DFT total energy, eV per atom: -6.686